one) {"formula": "Tb2DyAl", "functional": "PBE-GGA", "state": "optimized geometry", "total_magnetization_mub_per_fu": 0.0, "spacegroup": "Fm-3m (225)", "dos_at_fermi_per_ev_cell": 6.91, "lattice": [[0.000, 3.788, 3.788], [3.788, 0.000, 3.788], [3.788, 3.788, 0.000]], "species": ["Tb", "Tb", "Dy", "Al"], "fractional_positions": [[0.250, 0.250, 0.250], [0.750, 0.750, 0.750], [0.000, 0.000, 0.000], [0.500, 0.500, 0.500]]}

***

two) {"formula": "Tb2DyAl", "functional": "PBE-GGA", "state": "optimized geometry", "total_magnetization_mub_per_fu": 0.0, "spacegroup": "Pmmn (59)", "dos_at_fermi_per_ev_cell": 7.55, "lattice": [[5.355, 0.000, 0.000], [0.000, 6.676, 0.000], [0.000, 0.000, 6.055]], "species": ["Tb", "Tb", "Tb", "Tb", "Dy", "Dy", "Al", "Al"], "fractional_positions": [[0.250, 0.005, 0.160], [0.250, 0.495, 0.160], [0.750, 0.505, 0.840], [0.750, 0.995, 0.840], [0.250, 0.250, 0.626], [0.750, 0.750, 0.374], [0.250, 0.750, 0.665], [0.750, 0.250, 0.335]]}

***

Which of them is the most stable, and which is the least stable? two) and one), in that order.